No. 1
# ZrInAs

Crystalline ZrInAs at its relaxed geometry (PBE, Alexandria).

The structure in CIF format:
```
data_ZrInAs
_chemical_formula_sum 'Zr1 In1 As1'
_cell_length_a 5.0115
_cell_length_b 5.0115
_cell_length_c 2.9359
_cell_angle_alpha 90.00
_cell_angle_beta 90.00
_cell_angle_gamma 120.00
_space_group_name_H-M_alt 'P -6 m 2'
_space_group_IT_number 187
_space_group_name_Hall 'P -6 2'
loop_
_atom_site_label
_atom_site_fract_x
_atom_site_fract_y
_atom_site_fract_z
Zr1 0.0000 0.0000 0.0000
In1 0.3333 0.6667 0.5000
As1 0.6667 0.3333 0.5000
```

Computed properties:
Energy above the most stable polymorph in this dataset in eV/atom: 0.539
Density of states at the Fermi level in states/eV per atom: 0.914
Formation enthalpy at 0 K in meV per atom: -104
Electronic total energy in eV per atom: -5.42

No. 2
# MgBeRu2

Crystalline MgBeRu2 at its relaxed geometry (PBE, Alexandria).

The structure in CIF format:
```
data_MgBeRu2
_chemical_formula_sum 'Mg2 Be2 Ru4'
_cell_length_a 3.814
_cell_length_b 3.814
_cell_length_c 7.492
_cell_angle_alpha 90.00
_cell_angle_beta 90.00
_cell_angle_gamma 90.00
_space_group_name_H-M_alt 'I 4/m m m'
_space_group_IT_number 139
_space_group_name_Hall '-I 4 2'
loop_
_atom_site_label
_atom_site_fract_x
_atom_site_fract_y
_atom_site_fract_z
Mg1 0.000 0.000 0.000
Be1 0.000 0.000 0.500
Ru1 0.000 0.500 0.250
```

Computed properties:
Density of states at the Fermi level in states/eV per atom: 1.101
Formation enthalpy at 0 K in meV per atom: 234
Electronic total energy in eV per atom: -5.73

No. 3
# CeErCu2Ge2

Crystalline CeErCu2Ge2 at its relaxed geometry (PBE, Alexandria).

The structure in CIF format:
```
data_CeErCu2Ge2
_chemical_formula_sum 'Ce1 Er1 Cu2 Ge2'
_cell_length_a 4.2456
_cell_length_b 4.2456
_cell_length_c 7.5620
_cell_angle_alpha 90.00
_cell_angle_beta 90.00
_cell_angle_gamma 120.00
_space_group_name_H-M_alt 'P -3 m 1'
_space_group_IT_number 164
_space_group_name_Hall '-P 3 2"'
loop_
_atom_site_label
_atom_site_fract_x
_atom_site_fract_y
_atom_site_fract_z
Ce1 0.0000 0.0000 0.0000
Er1 0.0000 0.0000 0.5000
Cu1 0.3333 0.6667 0.2691
Ge1 0.3333 0.6667 0.7441
```

Computed properties:
Density of states at the Fermi level in states/eV per atom: 1.119
Formation enthalpy at 0 K in meV per atom: -635
Electronic total energy in eV per atom: -5.29